[1]
The following is a DFT calculation (GGA-PBE) of a relaxed Eu3In5H12 crystal.

Values from the calculation:
Total DFT energy (no corrections), eV per cell: -671.0

Structure (CIF):
```
data_Eu3In5H12
_chemical_formula_sum 'Eu24 In40 H96'
_space_group_name_H-M_alt 'I a -3 d'
_space_group_IT_number 230
_space_group_name_Hall '-I 4bd 2c 3'
_cell_length_a 13.269
_cell_length_b 13.269
_cell_length_c 13.269
_cell_angle_alpha 90.00
_cell_angle_beta 90.00
_cell_angle_gamma 90.00
loop_
_atom_site_label
_atom_site_type_symbol
_atom_site_fract_x
_atom_site_fract_y
_atom_site_fract_z
_atom_site_occupancy
Eu1 Eu 0.000 0.250 0.125 1
In1 In 0.000 0.000 0.000 1
In2 In 0.000 0.250 0.375 1
H1 H 0.026 0.076 0.678 1
```



[2]
The following is a DFT calculation (GGA-PBE) of a relaxed Ba2SiAu crystal.

Values from the calculation:
Offset from the most stable computed form, kcal/mol of atoms: 0.309
Formation energy from raw total energies, eV/atom: -0.4955

Structure (CIF):
```
data_Ba2SiAu
_chemical_formula_sum 'Ba6 Si3 Au3'
_space_group_name_H-M_alt 'R 3 m'
_space_group_IT_number 160
_space_group_name_Hall 'R 3 -2"'
_cell_length_a 4.4798
_cell_length_b 4.4798
_cell_length_c 26.7293
_cell_angle_alpha 90.00
_cell_angle_beta 90.00
_cell_angle_gamma 120.00
loop_
_atom_site_label
_atom_site_type_symbol
_atom_site_fract_x
_atom_site_fract_y
_atom_site_fract_z
_atom_site_occupancy
Ba1 Ba 0.0000 0.0000 0.0000 1
Ba2 Ba 0.0000 0.0000 0.1701 1
Si1 Si 0.0000 0.0000 0.4180 1
Au1 Au 0.0000 0.0000 0.7517 1
```



[3]
The following is a DFT calculation (GGA-PBE) of a relaxed AcS6I2 crystal.

Values from the calculation:
Formation energy from raw total energies, eV/atom: -0.4548

Structure (CIF):
```
data_AcS6I2
_chemical_formula_sum 'Ac1 S6 I2'
_space_group_name_H-M_alt 'P -1'
_space_group_IT_number 2
_space_group_name_Hall '-P 1'
_cell_length_a 4.876
_cell_length_b 8.729
_cell_length_c 9.363
_cell_angle_alpha 114.41
_cell_angle_beta 93.69
_cell_angle_gamma 94.25
loop_
_atom_site_label
_atom_site_type_symbol
_atom_site_fract_x
_atom_site_fract_y
_atom_site_fract_z
_atom_site_occupancy
Ac1 Ac 0.000 0.000 0.000 1
S1 S 0.071 0.505 0.718 1
S2 S 0.073 0.712 0.464 1
S3 S 0.136 0.309 0.311 1
I1 I 0.495 0.851 0.142 1
```



[4]
The following is a DFT calculation (GGA-PBE) of a relaxed Dy4Hg2TeSe crystal.

Values from the calculation:
Formation energy from raw total energies, eV/atom: -0.9635

Structure (CIF):
```
data_Dy4Hg2TeSe
_chemical_formula_sum 'Dy4 Hg2 Te1 Se1'
_space_group_name_H-M_alt 'P 1 2/m 1'
_space_group_IT_number 10
_space_group_name_Hall '-P 2y'
_cell_length_a 7.106
_cell_length_b 4.047
_cell_length_c 7.997
_cell_angle_alpha 90.00
_cell_angle_beta 106.69
_cell_angle_gamma 90.00
loop_
_atom_site_label
_atom_site_type_symbol
_atom_site_fract_x
_atom_site_fract_y
_atom_site_fract_z
_atom_site_occupancy
Dy1 Dy 0.234 0.000 0.236 1
Dy2 Dy 0.241 0.500 0.755 1
Hg1 Hg 0.000 0.000 0.500 1
Hg2 Hg 0.500 0.500 0.500 1
Te1 Te 0.500 0.000 0.000 1
Se1 Se 0.000 0.500 0.000 1
```



[5]
The following is a DFT calculation (GGA-PBE) of a relaxed Sm8Sb3Se4 crystal.

Values from the calculation:
Formation energy from raw total energies, eV/atom: -1.3932

Structure (CIF):
```
data_Sm8Sb3Se4
_chemical_formula_sum 'Sm16 Sb6 Se8'
_space_group_name_H-M_alt 'C 1 2/m 1'
_space_group_IT_number 12
_space_group_name_Hall '-C 2y'
_cell_length_a 12.124
_cell_length_b 12.133
_cell_length_c 8.550
_cell_angle_alpha 90.00
_cell_angle_beta 134.76
_cell_angle_gamma 90.00
loop_
_atom_site_label
_atom_site_type_symbol
_atom_site_fract_x
_atom_site_fract_y
_atom_site_fract_z
_atom_site_occupancy
Sm1 Sm 0.000 0.245 0.000 1
Sm2 Sm 0.000 0.246 0.500 1
Sm3 Sm 0.240 0.000 0.490 1
Sm4 Sm 0.240 0.000 0.991 1
Sb1 Sb 0.000 0.500 0.500 1
Sb2 Sb 0.250 0.250 0.000 1
Se1 Se 0.000 0.000 0.000 1
Se2 Se 0.000 0.000 0.500 1
Se3 Se 0.250 0.250 0.500 1
```



[6]
The following is a DFT calculation (GGA-PBE) of a relaxed TbErTe6 crystal.

Values from the calculation:
Formation energy from raw total energies, eV/atom: -0.9030

Structure (CIF):
```
data_TbErTe6
_chemical_formula_sum 'Tb2 Er2 Te12'
_space_group_name_H-M_alt 'A m m 2'
_space_group_IT_number 38
_space_group_name_Hall 'A 2 -2'
_cell_length_a 4.339
_cell_length_b 4.336
_cell_length_c 26.640
_cell_angle_alpha 90.00
_cell_angle_beta 90.00
_cell_angle_gamma 90.00
loop_
_atom_site_label
_atom_site_type_symbol
_atom_site_fract_x
_atom_site_fract_y
_atom_site_fract_z
_atom_site_occupancy
Tb1 Tb 0.000 0.000 0.000 1
Er1 Er 0.500 0.000 0.655 1
Te1 Te 0.000 0.000 0.120 1
Te2 Te 0.000 0.000 0.406 1
Te3 Te 0.000 0.000 0.748 1
Te4 Te 0.500 0.000 0.248 1
Te5 Te 0.500 0.000 0.536 1
Te6 Te 0.500 0.000 0.906 1
```



[7]
The following is a DFT calculation (GGA-PBE) of a relaxed TbPm5N4 crystal.

Values from the calculation:
Formation energy from raw total energies, eV/atom: -1.1608

Structure (CIF):
```
data_TbPm5N4
_chemical_formula_sum 'Tb2 Pm10 N8'
_space_group_name_H-M_alt 'C 1 2/m 1'
_space_group_IT_number 12
_space_group_name_Hall '-C 2y'
_cell_length_a 15.676
_cell_length_b 3.570
_cell_length_c 7.387
_cell_angle_alpha 90.00
_cell_angle_beta 103.01
_cell_angle_gamma 90.00
loop_
_atom_site_label
_atom_site_type_symbol
_atom_site_fract_x
_atom_site_fract_y
_atom_site_fract_z
_atom_site_occupancy
Tb1 Tb 0.000 0.000 0.000 1
Pm1 Pm 0.000 0.000 0.500 1
Pm2 Pm 0.158 0.500 0.305 1
Pm3 Pm 0.164 0.500 0.849 1
N1 N 0.001 0.500 0.243 1
N2 N 0.164 0.000 0.082 1
```



[8]
The following is a DFT calculation (GGA-PBE) of a relaxed Ac2Ga4GePt3 crystal.

Values from the calculation:
Formation energy, meV per atom: -876

Structure (CIF):
```
data_Ac2Ga4GePt3
_chemical_formula_sum 'Ac2 Ga4 Ge1 Pt3'
_space_group_name_H-M_alt 'P -4 m 2'
_space_group_IT_number 115
_space_group_name_Hall 'P -4 -2'
_cell_length_a 4.545
_cell_length_b 4.545
_cell_length_c 10.202
_cell_angle_alpha 90.00
_cell_angle_beta 90.00
_cell_angle_gamma 90.00
loop_
_atom_site_label
_atom_site_type_symbol
_atom_site_fract_x
_atom_site_fract_y
_atom_site_fract_z
_atom_site_occupancy
Ac1 Ac 0.000 0.500 0.249 1
Ga1 Ga 0.000 0.000 0.500 1
Ga2 Ga 0.000 0.500 0.868 1
Ga3 Ga 0.500 0.500 0.500 1
Ge1 Ge 0.500 0.500 0.000 1
Pt1 Pt 0.000 0.000 0.000 1
Pt2 Pt 0.000 0.500 0.622 1
```



[9]
The following is a DFT calculation (GGA-PBE) of a relaxed Ho5Pt2Rh crystal.

Values from the calculation:
Formation energy, meV per atom: -934

Structure (CIF):
```
data_Ho5Pt2Rh
_chemical_formula_sum 'Ho10 Pt4 Rh2'
_space_group_name_H-M_alt 'P b a m'
_space_group_IT_number 55
_space_group_name_Hall '-P 2 2ab'
_cell_length_a 7.689
_cell_length_b 11.958
_cell_length_c 4.228
_cell_angle_alpha 90.00
_cell_angle_beta 90.00
_cell_angle_gamma 90.00
loop_
_atom_site_label
_atom_site_type_symbol
_atom_site_fract_x
_atom_site_fract_y
_atom_site_fract_z
_atom_site_occupancy
Ho1 Ho 0.000 0.000 0.000 1
Ho2 Ho 0.163 0.297 0.000 1
Ho3 Ho 0.175 0.593 0.500 1
Pt1 Pt 0.039 0.826 0.500 1
Rh1 Rh 0.000 0.500 0.000 1
```



[10]
The following is a DFT calculation (GGA-PBE) of a relaxed Na4HoSc3Se8 crystal.

Values from the calculation:
Formation energy from raw total energies, eV/atom: -1.6106

Structure (CIF):
```
data_Na4HoSc3Se8
_chemical_formula_sum 'Na12 Ho3 Sc9 Se24'
_space_group_name_H-M_alt 'R -3 m'
_space_group_IT_number 166
_space_group_name_Hall '-R 3 2"'
_cell_length_a 7.9838
_cell_length_b 7.9838
_cell_length_c 20.9049
_cell_angle_alpha 90.00
_cell_angle_beta 90.00
_cell_angle_gamma 120.00
loop_
_atom_site_label
_atom_site_type_symbol
_atom_site_fract_x
_atom_site_fract_y
_atom_site_fract_z
_atom_site_occupancy
Na1 Na 0.0000 0.0000 0.0000 1
Na2 Na 0.0000 0.5000 0.0000 1
Ho1 Ho 0.0000 0.0000 0.5000 1
Sc1 Sc 0.0000 0.5000 0.5000 1
Se1 Se 0.0000 0.0000 0.2390 1
Se2 Se 0.0096 0.5048 0.7593 1
```



[11]
The following is a DFT calculation (GGA-PBE) of a relaxed PmBe4Rh3 crystal.

Values from the calculation:
Formation energy, meV per atom: -433

Structure (CIF):
```
data_PmBe4Rh3
_chemical_formula_sum 'Pm2 Be8 Rh6'
_space_group_name_H-M_alt 'P m m a'
_space_group_IT_number 51
_space_group_name_Hall '-P 2a 2a'
_cell_length_a 8.237
_cell_length_b 6.158
_cell_length_c 4.118
_cell_angle_alpha 90.00
_cell_angle_beta 90.00
_cell_angle_gamma 90.00
loop_
_atom_site_label
_atom_site_type_symbol
_atom_site_fract_x
_atom_site_fract_y
_atom_site_fract_z
_atom_site_occupancy
Pm1 Pm 0.000 0.000 0.000 1
Be1 Be 0.000 0.316 0.500 1
Be2 Be 0.250 0.316 0.007 1
Rh1 Rh 0.000 0.500 0.000 1
Rh2 Rh 0.250 0.000 0.497 1
Rh3 Rh 0.250 0.500 0.504 1
```



[12]
The following is a DFT calculation (GGA-PBE) of a relaxed LaMo crystal.

Values from the calculation:
Offset from the most stable computed form, kcal/mol of atoms: 6.505
Formation energy, meV per atom: 523

Structure (CIF):
```
data_LaMo
_chemical_formula_sum 'La2 Mo2'
_space_group_name_H-M_alt 'P -3 m 1'
_space_group_IT_number 164
_space_group_name_Hall '-P 3 2"'
_cell_length_a 3.3047
_cell_length_b 3.3047
_cell_length_c 10.3797
_cell_angle_alpha 90.00
_cell_angle_beta 90.00
_cell_angle_gamma 120.00
loop_
_atom_site_label
_atom_site_type_symbol
_atom_site_fract_x
_atom_site_fract_y
_atom_site_fract_z
_atom_site_occupancy
La1 La 0.3333 0.6667 0.3339 1
Mo1 Mo 0.3333 0.6667 0.9190 1
```



Repeat the twelfth record exactly.
The following is a DFT calculation (GGA-PBE) of a relaxed LaMo crystal.

Values from the calculation:
Offset from the most stable computed form, kcal/mol of atoms: 6.505
Formation energy, meV per atom: 523

Structure (CIF):
```
data_LaMo
_chemical_formula_sum 'La2 Mo2'
_space_group_name_H-M_alt 'P -3 m 1'
_space_group_IT_number 164
_space_group_name_Hall '-P 3 2"'
_cell_length_a 3.3047
_cell_length_b 3.3047
_cell_length_c 10.3797
_cell_angle_alpha 90.00
_cell_angle_beta 90.00
_cell_angle_gamma 120.00
loop_
_atom_site_label
_atom_site_type_symbol
_atom_site_fract_x
_atom_site_fract_y
_atom_site_fract_z
_atom_site_occupancy
La1 La 0.3333 0.6667 0.3339 1
Mo1 Mo 0.3333 0.6667 0.9190 1
```